Entry 1:
{
  "formula": "SmYPtPb",
  "functional": "PBE",
  "state": "relaxed",
  "cell": [[7.4175, 0.0000, 0.0000], [0.0000, 7.4175, 0.0000], [0.0000, 0.0000, 7.4175]],
  "species": ["Sm", "Sm", "Sm", "Sm", "Y", "Y", "Y", "Y", "Pt", "Pt", "Pt", "Pt", "Pb", "Pb", "Pb", "Pb"],
  "frac_coords": [[0.0000, 0.0000, 0.0000], [0.0000, 0.5000, 0.5000], [0.5000, 0.0000, 0.5000], [0.5000, 0.5000, 0.0000], [0.0000, 0.0000, 0.5000], [0.0000, 0.5000, 0.0000], [0.5000, 0.0000, 0.0000], [0.5000, 0.5000, 0.5000], [0.2500, 0.2500, 0.2500], [0.2500, 0.7500, 0.7500], [0.7500, 0.2500, 0.7500], [0.7500, 0.7500, 0.2500], [0.2500, 0.2500, 0.7500], [0.2500, 0.7500, 0.2500], [0.7500, 0.2500, 0.2500], [0.7500, 0.7500, 0.7500]],
  "formation_energy_ev_per_atom": -0.725,
  "mass_density_g_cm3": 10.4
}



Entry 2:
{
  "formula": "La2AgAs",
  "functional": "PBE",
  "state": "relaxed",
  "cell": [[7.4046, 0.0000, 0.0000], [0.0000, 7.4046, 0.0000], [0.0000, 0.0000, 7.4046]],
  "species": ["La", "La", "La", "La", "La", "La", "La", "La", "Ag", "Ag", "Ag", "Ag", "As", "As", "As", "As"],
  "frac_coords": [[0.0000, 0.0000, 0.0000], [0.0000, 0.5000, 0.5000], [0.2500, 0.2500, 0.2500], [0.2500, 0.7500, 0.7500], [0.5000, 0.0000, 0.5000], [0.5000, 0.5000, 0.0000], [0.7500, 0.2500, 0.7500], [0.7500, 0.7500, 0.2500], [0.2500, 0.2500, 0.7500], [0.2500, 0.7500, 0.2500], [0.7500, 0.2500, 0.2500], [0.7500, 0.7500, 0.7500], [0.0000, 0.0000, 0.5000], [0.0000, 0.5000, 0.0000], [0.5000, 0.0000, 0.0000], [0.5000, 0.5000, 0.5000]],
  "formation_energy_ev_per_atom": -0.142,
  "mass_density_g_cm3": 7.5
}



Entry 3:
{
  "formula": "CaPrBi2",
  "functional": "PBE",
  "state": "relaxed",
  "cell": [[5.9860, 0.0000, 0.0000], [0.0000, 5.9860, 0.0000], [0.0000, 0.0000, 3.5336]],
  "species": ["Ca", "Pr", "Bi", "Bi"],
  "frac_coords": [[0.0000, 0.0000, 0.0000], [0.5000, 0.5000, 0.0000], [0.0000, 0.5000, 0.5000], [0.5000, 0.0000, 0.5000]],
  "formation_energy_ev_per_atom": -0.746,
  "de_polymorph_mev_per_atom": 20,
  "mass_density_g_cm3": 7.9
}



Entry 4:
{
  "formula": "Mg3GeIr",
  "functional": "PBE",
  "state": "relaxed",
  "cell": [[4.9370, 0.0000, 0.0000], [0.0000, 4.9370, 0.0000], [0.0000, 0.0000, 4.9370]],
  "species": ["Mg", "Mg", "Mg", "Ge", "Ir"],
  "frac_coords": [[0.0000, 0.0000, 0.5000], [0.0000, 0.5000, 0.0000], [0.5000, 0.0000, 0.0000], [0.5000, 0.5000, 0.5000], [0.0000, 0.0000, 0.0000]],
  "formation_energy_ev_per_atom": 0.202,
  "de_polymorph_mev_per_atom": 433,
  "mass_density_g_cm3": 4.7
}



Entry 5:
{
  "formula": "CoTcIr4",
  "functional": "PBE",
  "state": "relaxed",
  "cell": [[0.0000, 3.6013, 3.6013], [3.6013, 0.0000, 3.6013], [3.6013, 3.6013, 0.0000]],
  "species": ["Co", "Tc", "Ir", "Ir", "Ir", "Ir"],
  "frac_coords": [[0.0000, 0.0000, 0.0000], [0.7500, 0.7500, 0.7500], [0.3748, 0.3748, 0.3748], [0.3748, 0.3748, 0.8756], [0.3748, 0.8756, 0.3748], [0.8756, 0.3748, 0.3748]],
  "formation_energy_ev_per_atom": 0.584,
  "de_polymorph_mev_per_atom": 619,
  "mass_density_g_cm3": 16.5
}



Entry 6:
{
  "formula": "PrErAu2",
  "functional": "PBE",
  "state": "relaxed",
  "cell": [[3.6099, 0.0000, 0.0000], [0.0000, 3.6099, 0.0000], [0.0000, 0.0000, 7.4720]],
  "species": ["Pr", "Er", "Au", "Au"],
  "frac_coords": [[0.0000, 0.0000, 0.0000], [0.0000, 0.0000, 0.5000], [0.5000, 0.5000, 0.2777], [0.5000, 0.5000, 0.7223]],
  "formation_energy_ev_per_atom": -0.823,
  "de_polymorph_mev_per_atom": 0,
  "mass_density_g_cm3": 12.0
}



Entry 7:
{
  "formula": "SrSF2",
  "functional": "PBE",
  "state": "relaxed",
  "cell": [[3.8835, 0.0000, 0.0000], [-1.9418, 3.3633, 0.0000], [0.0000, 0.0000, 23.0932]],
  "species": ["Sr", "Sr", "Sr", "S", "S", "S", "F", "F", "F", "F", "F", "F"],
  "frac_coords": [[0.0000, 0.0000, 0.0000], [0.3333, 0.6667, 0.6667], [0.6667, 0.3333, 0.3333], [0.0000, 0.0000, 0.5000], [0.3333, 0.6667, 0.1667], [0.6667, 0.3333, 0.8333], [0.0000, 0.0000, 0.3749], [0.0000, 0.0000, 0.6251], [0.3333, 0.6667, 0.0416], [0.3333, 0.6667, 0.2917], [0.6667, 0.3333, 0.7083], [0.6667, 0.3333, 0.9584]],
  "de_polymorph_mev_per_atom": 0,
  "mass_density_g_cm3": 2.6,
  "formation_energy_uncorrected_ev_per_atom": -2.18
}



Entry 8:
{
  "formula": "CsHgSbPb",
  "functional": "PBE",
  "state": "relaxed",
  "cell": [[4.8908, 0.0000, 0.0000], [-2.4454, 4.2356, 0.0000], [0.0000, 0.0000, 24.5981]],
  "species": ["Cs", "Cs", "Cs", "Hg", "Hg", "Hg", "Sb", "Sb", "Sb", "Pb", "Pb", "Pb"],
  "frac_coords": [[0.0000, 0.0000, 0.0000], [0.3333, 0.6667, 0.6667], [0.6667, 0.3333, 0.3333], [0.0000, 0.0000, 0.5626], [0.3333, 0.6667, 0.2292], [0.6667, 0.3333, 0.8959], [0.0000, 0.0000, 0.7773], [0.3333, 0.6667, 0.4440], [0.6667, 0.3333, 0.1106], [0.0000, 0.0000, 0.1662], [0.3333, 0.6667, 0.8329], [0.6667, 0.3333, 0.4995]],
  "mass_density_g_cm3": 6.5,
  "formation_energy_uncorrected_ev_per_atom": -0.21
}



Entry 9:
{
  "formula": "HoGe3Pd5",
  "functional": "PBE",
  "state": "relaxed",
  "cell": [[1.8826, -6.6623, 0.0000], [1.8826, 6.6623, 0.0000], [0.0000, 0.0000, 13.0635]],
  "species": ["Ho", "Ho", "Ge", "Ge", "Ge", "Ge", "Ge", "Ge", "Pd", "Pd", "Pd", "Pd", "Pd", "Pd", "Pd", "Pd", "Pd", "Pd"],
  "frac_coords": [[0.1140, 0.8860, 0.7500], [0.8860, 0.1140, 0.2500], [0.1288, 0.8712, 0.2500], [0.3789, 0.6211, 0.0426], [0.3789, 0.6211, 0.4574], [0.6211, 0.3789, 0.5426], [0.6211, 0.3789, 0.9574], [0.8712, 0.1288, 0.7500], [0.0000, 0.0000, 0.0000], [0.0000, 0.0000, 0.5000], [0.2015, 0.7985, 0.0741], [0.2015, 0.7985, 0.4259], [0.4560, 0.5440, 0.6479], [0.4560, 0.5440, 0.8521], [0.5440, 0.4560, 0.1479], [0.5440, 0.4560, 0.3521], [0.7985, 0.2015, 0.5741], [0.7985, 0.2015, 0.9259]],
  "formation_energy_ev_per_atom": -0.566,
  "mass_density_g_cm3": 9.3
}



Entry 10:
{
  "formula": "CaDyZnSn",
  "functional": "PBE",
  "state": "relaxed",
  "cell": [[7.4262, 0.0000, 0.0000], [0.0000, 7.4262, 0.0000], [0.0000, 0.0000, 7.4262]],
  "species": ["Ca", "Ca", "Ca", "Ca", "Dy", "Dy", "Dy", "Dy", "Zn", "Zn", "Zn", "Zn", "Sn", "Sn", "Sn", "Sn"],
  "frac_coords": [[0.0000, 0.0000, 0.0000], [0.0000, 0.5000, 0.5000], [0.5000, 0.0000, 0.5000], [0.5000, 0.5000, 0.0000], [0.0000, 0.0000, 0.5000], [0.0000, 0.5000, 0.0000], [0.5000, 0.0000, 0.0000], [0.5000, 0.5000, 0.5000], [0.2500, 0.2500, 0.7500], [0.2500, 0.7500, 0.2500], [0.7500, 0.2500, 0.2500], [0.7500, 0.7500, 0.7500], [0.2500, 0.2500, 0.2500], [0.2500, 0.7500, 0.7500], [0.7500, 0.2500, 0.7500], [0.7500, 0.7500, 0.2500]],
  "formation_energy_ev_per_atom": -0.463,
  "mass_density_g_cm3": 6.3
}



Entry 11:
{
  "formula": "GaSnAu2",
  "functional": "PBE",
  "state": "relaxed",
  "cell": [[6.9028, 0.0000, 0.0000], [0.0000, 6.9028, 0.0000], [0.0000, 0.0000, 6.9028]],
  "species": ["Ga", "Ga", "Ga", "Ga", "Sn", "Sn", "Sn", "Sn", "Au", "Au", "Au", "Au", "Au", "Au", "Au", "Au"],
  "frac_coords": [[0.0000, 0.0000, 0.0000], [0.0000, 0.5000, 0.5000], [0.5000, 0.0000, 0.5000], [0.5000, 0.5000, 0.0000], [0.0000, 0.0000, 0.5000], [0.0000, 0.5000, 0.0000], [0.5000, 0.0000, 0.0000], [0.5000, 0.5000, 0.5000], [0.2500, 0.2500, 0.2500], [0.2500, 0.2500, 0.7500], [0.2500, 0.7500, 0.2500], [0.2500, 0.7500, 0.7500], [0.7500, 0.2500, 0.2500], [0.7500, 0.2500, 0.7500], [0.7500, 0.7500, 0.2500], [0.7500, 0.7500, 0.7500]],
  "formation_energy_ev_per_atom": -0.038,
  "de_polymorph_mev_per_atom": 147,
  "mass_density_g_cm3": 11.8
}